Entry 1:
A plane-wave DFT calculation with PBE was carried out for a geometry-optimized Rb2ReBCl6 structure.

POSCAR file:
```
Rb2ReBCl6
1.0
6.960 0.000 0.000
0.000 6.960 0.000
3.480 3.480 5.480
Rb Cl Re B
2 6 1 1
Cartesian
3.480 6.960 2.740
6.960 3.480 2.740
1.703 1.703 0.000
1.703 5.257 0.000
5.257 5.257 0.000
6.960 6.960 2.418
5.257 1.703 0.000
3.480 3.480 3.061
0.000 0.000 0.000
3.480 3.480 0.000
```

Calculated values
Fermi-level density of states in states/eV/f.u.: 4.96
Energy relative to the elements, uncorrected in eV/atom: -0.63
Symmetry: No. 139
V in Å³/atom: 26.5



Entry 2:
A plane-wave DFT calculation with PBE was carried out for a geometry-optimized YTa2Os structure.

POSCAR file:
```
YTa2Os
1.0
4.732 0.000 0.000
2.366 4.098 0.000
2.366 1.366 3.863
Ta Y Os
2 1 1
Cartesian
0.000 0.000 0.000
2.366 1.366 0.966
7.098 4.098 2.898
4.732 2.732 1.932
```

Calculated values
Fermi-level density of states in states/eV/f.u.: 4.15
Energy above the most stable polymorph in this dataset in meV per atom: 182
Symmetry: No. 216
V in Å³/atom: 18.7



Entry 3:
A plane-wave DFT calculation with PBE was carried out for a geometry-optimized ThUMnC3 structure.

POSCAR file:
```
ThUMnC3
1.0
-1.232 -2.389 -2.318
6.683 -0.944 -2.578
0.272 -5.280 5.298
U C Th Mn
2 6 2 2
Cartesian
4.047 -2.133 -1.312
1.676 -6.481 1.713
1.915 -2.865 -2.142
5.466 -3.881 -0.263
0.257 -4.733 0.665
3.808 -5.749 2.543
4.923 -3.420 -3.168
0.800 -5.194 3.570
4.930 -6.895 0.410
0.793 -1.719 -0.008
0.475 -3.781 2.285
5.247 -4.833 -1.884
```

Calculated values
Fermi-level density of states in states/eV/f.u.: 3.88
Calculated total energy in eV/atom: -9.34
Symmetry: No. 11
V in Å³/atom: 15.9



Entry 4:
A plane-wave DFT calculation with PBE was carried out for a geometry-optimized KCeMgCl6 structure.

POSCAR file:
```
KCeMgCl6
1.0
-2.074 -6.637 -0.142
2.327 3.041 -5.806
12.711 -4.036 2.981
K Cl Ce Mg
2 12 2 2
Cartesian
6.356 -2.018 1.490
0.000 0.000 0.000
2.637 0.417 -1.795
2.019 -2.719 -3.405
6.965 -7.975 -0.290
3.332 0.030 -5.284
8.262 -4.985 -1.770
5.999 0.343 -2.676
9.632 -7.661 2.317
10.945 -4.913 0.438
5.537 -2.588 -4.677
7.427 -5.043 1.710
4.702 -2.647 -1.197
10.327 -8.048 -1.172
2.571 -4.420 -1.285
10.393 -3.212 -1.682
4.038 -1.194 -3.173
8.926 -6.438 0.206
```

Calculated values
Fermi-level density of states in states/eV/f.u.: 8.29
Energy relative to the elements, uncorrected in eV/atom: -2.05
Symmetry: No. 163
V in Å³/atom: 31.8



Entry 5:
A plane-wave DFT calculation with PBE was carried out for a geometry-optimized BTe2PtW structure.

POSCAR file:
```
BTe2PtW
1.0
5.396 0.000 0.000
0.000 3.898 0.000
0.000 0.000 5.396
Pt W Te B
1 1 2 1
Cartesian
0.000 0.000 0.000
2.698 1.949 2.698
2.698 0.000 0.000
0.000 0.000 2.698
0.000 1.949 0.000
```

Calculated values
Fermi-level density of states in states/eV/f.u.: 2.24
Energy relative to the elements, uncorrected in eV/atom: 1.13
Symmetry: No. 123
V in Å³/atom: 22.7



Entry 6:
A plane-wave DFT calculation with PBE was carried out for a geometry-optimized Na2AgSnCl5 structure.

POSCAR file:
```
Na2AgSnCl5
1.0
4.019 0.000 0.000
-2.009 8.207 0.000
0.000 0.000 14.647
Cl Na Ag Sn
10 4 2 2
Cartesian
2.009 0.678 3.763
0.000 1.857 0.660
0.000 4.050 6.237
2.009 6.350 7.984
2.009 4.157 13.560
2.009 0.934 7.589
0.000 7.529 11.086
0.000 3.467 10.066
2.009 4.740 2.743
0.000 7.273 0.265
0.000 2.799 3.801
2.009 5.408 11.124
2.009 7.546 2.228
0.000 0.661 9.551
0.000 4.692 0.815
2.009 3.515 8.139
0.000 6.830 6.202
2.009 1.377 13.526
```

Calculated values
Fermi-level density of states in states/eV/f.u.: 0.00
Energy relative to the elements, uncorrected in eV/atom: -1.16
Symmetry: No. 36
V in Å³/atom: 26.8



Entry 7:
A plane-wave DFT calculation with PBE was carried out for a geometry-optimized MgMoPS2 structure.

POSCAR file:
```
MgMoPS2
1.0
4.614 0.000 0.000
0.000 4.614 0.000
0.000 0.000 4.967
P S Mg Mo
1 2 1 1
Cartesian
0.000 0.000 2.483
2.307 0.000 0.000
0.000 2.307 0.000
2.307 2.307 2.483
0.000 0.000 0.000
```

Calculated values
Fermi-level density of states in states/eV/f.u.: 2.86
Energy above the most stable polymorph in this dataset in meV per atom: 0
Energy relative to the elements, uncorrected in eV/atom: 0.03
Symmetry: No. 123
V in Å³/atom: 21.1



Entry 8:
A plane-wave DFT calculation with PBE was carried out for a geometry-optimized RbZr2Pt structure.

POSCAR file:
```
RbZr2Pt
1.0
-4.226 1.813 1.887
-1.290 4.719 -0.878
-3.829 1.012 -3.003
Pt Zr Rb
1 2 1
Cartesian
-4.673 3.772 -0.997
-7.009 5.658 -1.496
-2.336 1.886 -0.499
0.000 0.000 0.000
```

Calculated values
Fermi-level density of states in states/eV/f.u.: 8.93
Energy above the most stable polymorph in this dataset in meV per atom: 0
Symmetry: No. 225
V in Å³/atom: 21.7